1.
Material: KCo2Os
Method: DFT, SCAN
State: PBEsol geometry

Calculated values
Symmetry   Fm-3m
Distance to the lowest polymorph of the same formula   2.377 eV/f.u.
Formation energy   5.7 eV/f.u.

```
4
Lattice="4.353 0.000 0.000 2.176 3.770 0.000 2.176 1.257 3.554" Properties=species:S:1:pos:R:3 pbc="T T T"
Co 2.176 1.257 0.888
Co 6.529 3.770 2.665
K 0.000 0.000 0.000
Os 4.353 2.513 1.777
```



2.
Material: Sn2HPd
Method: DFT, SCAN
State: PBEsol geometry

Calculated values
Symmetry   Fm-3m

```
4
Lattice="4.545 0.000 0.000 2.273 3.936 0.000 2.273 1.312 3.711" Properties=species:S:1:pos:R:3 pbc="T T T"
H 0.000 0.000 0.000
Sn 2.273 1.312 0.928
Sn 6.818 3.936 2.783
Pd 4.545 2.624 1.856
```



3.
Material: Cr2TeH2
Method: DFT, SCAN
State: PBEsol geometry

Calculated values
Symmetry   I4/mmm

```
5
Lattice="-3.017 0.487 -0.429 0.246 -1.027 -2.900 0.395 -4.467 3.258" Properties=species:S:1:pos:R:3 pbc="T T T"
Cr -0.672 -3.216 1.082
Cr -1.704 -1.792 -1.153
Te 0.000 0.000 0.000
H -0.372 -2.882 -0.653
H -2.004 -2.126 0.582
```



4.
Material: OsRuF2
Method: DFT, SCAN
State: PBEsol geometry

Calculated values
Symmetry   R-3m
Formation energy (no corrections)   -0.220 eV per atom

```
4
Lattice="2.583 0.000 0.000 1.292 2.237 0.000 1.292 0.746 9.558" Properties=species:S:1:pos:R:3 pbc="T T T"
Ru 0.000 0.000 0.000
Os 2.583 1.491 4.779
F 3.875 2.237 1.865
F 1.292 0.746 7.693
```



5.
Material: Y2CdRh
Method: DFT, SCAN
State: PBEsol geometry

Calculated values
Symmetry   P4/mmm
Formation energy   -2.6 eV/f.u.

```
4
Lattice="-1.687 2.344 2.108 1.375 -2.588 3.978 4.133 2.687 0.320" Properties=species:S:1:pos:R:3 pbc="T T T"
Y 2.067 1.344 0.160
Y 0.687 -1.294 1.989
Rh -0.844 1.172 1.054
Cd 1.911 1.222 3.203
```



6.
Material: GaAgSeN2
Method: DFT, SCAN
State: PBEsol geometry

Calculated values
Symmetry   P4/mmm
Formation energy (no corrections)   1.531 eV per atom

```
5
Lattice="3.996 0.000 0.000 0.000 3.996 0.000 0.000 0.000 5.428" Properties=species:S:1:pos:R:3 pbc="T T T"
Ga 1.998 1.998 2.714
Se 0.000 0.000 2.714
Ag 0.000 0.000 0.000
N 0.000 1.998 0.000
N 1.998 0.000 0.000
```



7.
Material: MgIn2Rh
Method: DFT, SCAN
State: PBEsol geometry

Calculated values
Symmetry   I-4m2
Formation energy   -1.2 eV/f.u.

```
4
Lattice="-0.093 -3.933 1.197 0.314 -1.203 -3.925 4.154 2.571 1.704" Properties=species:S:1:pos:R:3 pbc="T T T"
In 4.375 -2.564 -1.023
In 2.086 -1.965 0.769
Mg 0.112 -2.568 -1.364
Rh 2.291 -0.600 -1.792
```



8.
Material: RbMg2Ge2
Method: DFT, SCAN
State: PBEsol geometry

Calculated values
Symmetry   I4/mmm
Formation energy   -1.0 eV/f.u.

```
5
Lattice="4.734 0.000 0.000 0.000 4.734 0.000 -2.367 -2.367 5.521" Properties=species:S:1:pos:R:3 pbc="T T T"
Ge 0.000 0.000 4.271
Ge 2.367 2.367 1.251
Mg 0.000 2.367 2.761
Mg 2.367 0.000 2.761
Rb 0.000 0.000 0.000
```



| no. | E_tot (eV per atom) |
| --- | --- |
| 1 | -27.283 |
| 2 | -26.836 |
| 3 | -15.879 |
| 4 | -28.667 |
| 5 | -30.610 |
| 6 | -15.744 |
| 7 | -26.673 |
| 8 | -13.966 |